[1]
Compound: Sr2Ca2Cd15
Source: Alexandria via LeMat-Bulk
Functional: GGA-PBE
Structure: optimized geometry

* crystal system: trigonal

abc: 10.3987 10.3987 15.7176
angles: 90.00 90.00 120.00
Space group R-3m (No. 166, hexagonal axes)
Asymmetric unit:
1 Sr 0.0000 0.0000 0.1559 x6
2 Ca 0.0000 0.0000 0.3967 x6
3 Cd 0.0000 0.2956 0.5000 x18
4 Cd 0.0000 0.5000 0.0000 x9
5 Cd 0.0108 0.5054 0.6425 x18

---

[2]
Compound: Sr2CaCd2
Source: Alexandria via LeMat-Bulk
Functional: GGA-PBE
Structure: optimized geometry

* crystal system: tetragonal

abc: 4.3201 4.3201 21.8833
angles: 90.00 90.00 90.00
Space group I4/mmm (No. 139)
Asymmetric unit:
1 Sr 0.0000 0.0000 0.1250 x4
2 Ca 0.0000 0.0000 0.5000 x2
3 Cd 0.0000 0.5000 0.2500 x4

---

[3]
Compound: Sr4CaCd
Source: Alexandria via LeMat-Bulk
Functional: GGA-PBE
Structure: optimized geometry

* crystal system: tetragonal

abc: 4.1360 4.1360 15.9386
angles: 90.00 90.00 90.00
Space group P4/mmm (No. 123)
Asymmetric unit:
1 Sr 0.0000 0.0000 0.1222 x2
2 Sr 0.5000 0.5000 0.3209 x2
3 Ca 0.0000 0.0000 0.5000 x1
4 Cd 0.5000 0.5000 0.0000 x1

---

| no. | N(E_F) (states/eV/cell) | calculated total energy (eV per atom) | energy relative to the elements (eV per atom) |
| --- | --- | --- | --- |
| 1 | 28.29 | -1.30 | -0.1946 |
| 2 | 8.04 | -1.48 | -0.0423 |
| 3 | 7.46 | -1.71 | -0.1029 |